Here is a geometry-optimized Hf5Bi2B2 structure from the Alexandria database. Energies are from PBE.

abc: 14.5518 6.9666 6.9504
angles: 90.00 90.00 90.00
Space group Cmce (No. 64)
Asymmetric unit:
Hf: 0.0000 0.0000 0.0000
Hf: 0.1042 0.1569 0.3388
Bi: 0.2139 0.0000 0.0000
B: 0.0000 0.1470 0.6438

DOS(E_F) = 0.753 states/eV/atom
total magnetic moment = 0.00 μB per formula unit
crystal system = orthorhombic
final energy = -8.155 eV/atom



Here is a geometry-optimized Hf2BiB structure from the Alexandria database. Energies are from PBE.

abc: 3.5361 3.5361 21.8248
angles: 90.00 90.00 120.00
Space group R-3m (No. 166, hexagonal axes)
Asymmetric unit:
Hf: 0.0000 0.0000 0.2221
Bi: 0.0000 0.0000 0.0000
B: 0.0000 0.0000 0.5000

DOS(E_F) = 0.469 states/eV/atom
total magnetic moment = 0.00 μB per formula unit
excess energy over the best structure of this formula in the dataset = 0.0 meV per atom
crystal system = trigonal